1.
DFT (PBE-GGA) results for a geometry-optimized AcAg3Sn structure.

Summary:
Crystal system: triclinic
Formation enthalpy at 0 K, eV/atom: -0.28

Cell: 4.833 4.922 6.243 Å, 68.43 68.34 90.68°
Element x y z (fractional)
Ag (0.773, 0.624, 0.154)
Ag (0.650, 0.005, 0.403)
Sn (0.029, 0.787, 0.650)
Ac (0.405, 0.208, 0.898)
Ag (0.151, 0.402, 0.406)


2.
DFT (PBE-GGA) results for a geometry-optimized LaOs2 structure.

Summary:
Crystal system: tetragonal
Formation enthalpy at 0 K, eV/atom: 0.23

Cell: 6.172 6.172 6.172 Å, 131.12 131.12 71.63°
Element x y z (fractional)
La (0.250, 0.250, 0.000)
Os (0.822, 0.678, 0.500)
Os (0.678, 0.178, 0.856)
Os (0.322, 0.822, 0.144)
Os (0.178, 0.322, 0.500)
La (0.750, 0.750, 0.000)